# LaAuF2

An optimized crystal structure of LaAuF2 (GGA-PBE, the Alexandria database).

Cell and atoms, written as CIF:
```
data_LaAuF2
_chemical_formula_sum 'La1 Au1 F2'
_space_group_name_H-M_alt 'P 1'
_space_group_IT_number 1
_cell_length_a 9.5232
_cell_length_b 9.5232
_cell_length_c 9.5232
_cell_angle_alpha 21.39
_cell_angle_beta 21.39
_cell_angle_gamma 21.39
loop_
_space_group_symop_operation_xyz
'x,y,z'
loop_
_atom_site_label
_atom_site_type_symbol
_atom_site_fract_x
_atom_site_fract_y
_atom_site_fract_z
La1 La 0.0000 0.0000 0.0000
Au1 Au 0.5000 0.5000 0.5000
F1 F 0.3808 0.3808 0.3808
F2 F 0.6192 0.6192 0.6192
```

Values from the calculation:
The value obtained for the raw formation energy is -2072 meV/atom. As for the volume: 100.7 Å³/cell. For the final energy, the calculation gives -5.059 eV/atom.